(1)
DFT (PBE) results for Tl2Cu3Cl8 after structural relaxation.

Values from the calculation:
Calculated density in g/cm³: 4.125
Electronic total energy in eV per atom: -3.06
Total moment in μB/f.u.: 1.27
Fermi-level density of states in states/eV/atom: 0.683
ΔE_f (raw) in eV/atom: -0.613
Crystal system: monoclinic

Lattice parameters (Å, degrees): 6.256 8.365 8.614 119.05 112.18 90.00
Sites, in units of the cell vectors:
Cu 0.000 0.685 0.000
Cu 0.000 0.315 0.000
Cu 0.500 0.000 0.000
Tl 0.639 0.734 0.468
Tl 0.361 0.266 0.532
Cl 0.018 0.388 0.775
Cl 0.635 0.131 0.830
Cl 0.365 0.869 0.170
Cl 0.151 0.870 0.739
Cl 0.982 0.612 0.225
Cl 0.849 0.130 0.261
Cl 0.635 0.699 0.830
Cl 0.365 0.301 0.170

(2)
DFT (PBE) results for Mn2MoCl after structural relaxation.

Values from the calculation:
Calculated density in g/cm³: 6.006
Electronic total energy in eV per atom: -7.61
ΔE to the lowest computed polymorph in kcal/mol of atoms: 0.00
Total moment in μB/f.u.: 5.72
Fermi-level density of states in states/eV/atom: 0.782
ΔE_f (raw) in eV/atom: 0.142
Crystal system: orthorhombic

Lattice parameters (Å, degrees): 2.988 3.058 7.300 90.05 90.00 90.00
Sites, in units of the cell vectors:
Cl 0.500 0.750 0.750
Mn 0.000 0.751 0.469
Mn 0.000 0.749 0.031
Mo 0.500 0.250 0.250

(3)
DFT (PBE) results for Ac2LaNi after structural relaxation.

Values from the calculation:
Calculated density in g/cm³: 8.109
Electronic total energy in eV per atom: -4.76
ΔE to the lowest computed polymorph in kcal/mol of atoms: 2.74
ΔH_f (0 K) in eV/atom: -0.030
Total moment in μB/f.u.: 0.00
Fermi-level density of states in states/eV/atom: 1.585
Crystal system: tetragonal

Lattice parameters (Å, degrees): 3.750 3.750 9.489 90.00 90.00 90.00
Sites, in units of the cell vectors:
Ac 0.000 0.000 0.185
Ac 0.000 0.000 0.815
La 0.500 0.500 0.500
Ni 0.500 0.500 0.000